# 1
Density functional theory data (GGA-PBE) for crystalline ScNb3As at its relaxed geometry.

Structure (POSCAR):
```
ScNb3As
1.0
4.8012 0.0000 0.0000
0.0000 4.8012 0.0000
0.0000 0.0000 4.8012
Sc Nb As
1 3 1
direct
0.5000 0.5000 0.5000
0.0000 0.5000 0.0000
0.0000 0.0000 0.5000
0.5000 0.0000 0.0000
0.0000 0.0000 0.0000
```

Output
size of the total moment: 0.00 μB per formula unit
DOS at the Fermi energy: 1.484 states/eV/atom
volume: 22.13 Å³ per atom
ΔE to the lowest computed polymorph: 0.0 kJ/mol of atoms
space-group type: Pm-3m, No. 221

# 2
Density functional theory data (GGA-PBE) for crystalline ScNb2As2 at its relaxed geometry.

Structure (POSCAR):
```
ScNb2As2
1.0
-0.0400 -3.6419 1.5248
1.7781 -1.3781 -3.2448
6.4382 -1.4770 1.7531
Sc Nb As
1 2 2
direct
0.0000 0.0000 0.0000
0.7500 0.2500 0.5000
0.2500 0.7500 0.5000
0.3922 0.3922 0.2156
0.6078 0.6078 0.7844
```

Output
size of the total moment: 0.00 μB per formula unit
DOS at the Fermi energy: 0.511 states/eV/atom
volume: 19.45 Å³ per atom
ΔE to the lowest computed polymorph: 13.0 kJ/mol of atoms
space-group type: I4/mmm, No. 139

# 3
Density functional theory data (GGA-PBE) for crystalline ScNbAs at its relaxed geometry.

Structure (POSCAR):
```
ScNbAs
1.0
3.8761 0.0000 -0.0012
0.0000 3.8763 0.0012
0.0004 -0.0004 7.4554
Sc Nb As
2 2 2
direct
0.2501 0.7499 0.3600
0.7499 0.2501 0.6400
0.7500 0.7500 0.0000
0.2500 0.2500 0.0000
0.7501 0.2499 0.2669
0.2499 0.7501 0.7331
```

Output
size of the total moment: 0.00 μB per formula unit
DOS at the Fermi energy: 0.642 states/eV/atom
raw total energy: -7.881 eV/atom
volume: 18.67 Å³ per atom
space-group type: P4/nmm, No. 129

# 4
Density functional theory data (GGA-PBE) for crystalline ScNbAsSe2 at its relaxed geometry.

Structure (POSCAR):
```
ScNbAsSe2
1.0
-3.3040 -1.9342 3.1946
-2.2593 -2.3610 -3.7662
3.0085 -3.9893 0.6961
Sc Nb As Se
1 1 1 2
direct
0.5000 0.5000 0.5000
0.0000 0.0000 0.0000
0.0000 0.0000 0.5000
0.0000 0.5000 0.0000
0.5000 0.0000 0.0000
```

Output
size of the total moment: 0.20 μB per formula unit
DOS at the Fermi energy: 0.760 states/eV/atom
volume: 25.09 Å³ per atom
ΔE to the lowest computed polymorph: 0.0 kJ/mol of atoms
space-group type: P4/mmm, No. 123
ΔE_f (raw): -191 meV per atom

# 5
Density functional theory data (GGA-PBE) for crystalline ScNbAsSe2 at its relaxed geometry.

Structure (POSCAR):
```
ScNbAsSe2
1.0
-4.1839 -2.6726 0.7870
2.5285 -3.0462 3.0975
-1.1722 2.9797 3.8872
Sc Nb As Se
1 1 1 2
direct
0.0000 0.0000 0.0000
0.5000 0.5000 0.5000
0.0000 0.0000 0.5000
0.0000 0.5000 0.0000
0.5000 0.0000 0.0000
```

Output
size of the total moment: 2.31 μB per formula unit
DOS at the Fermi energy: 0.859 states/eV/atom
volume: 25.45 Å³ per atom
ΔE to the lowest computed polymorph: 39.8 kJ/mol of atoms
space-group type: P4/mmm, No. 123
ΔE_f (raw): 221 meV per atom

# 6
Density functional theory data (GGA-PBE) for crystalline ScNbTcAs2 at its relaxed geometry.

Structure (POSCAR):
```
ScNbTcAs2
1.0
4.9110 0.0000 0.0000
0.0000 4.8028 0.0000
0.0000 0.0000 4.9110
Sc As Nb Tc
1 2 1 1
direct
0.0000 0.0000 0.0000
0.0000 0.0000 0.5000
0.5000 0.0000 0.0000
0.0000 0.5000 0.0000
0.5000 0.5000 0.5000
```

Output
size of the total moment: 2.22 μB per formula unit
DOS at the Fermi energy: 1.173 states/eV/atom
raw total energy: -5.871 eV/atom
volume: 23.17 Å³ per atom
space-group type: P4/mmm, No. 123

# 7
Density functional theory data (GGA-PBE) for crystalline Sc2NbAsW at its relaxed geometry.

Structure (POSCAR):
```
Sc2NbAsW
1.0
4.8509 0.0000 0.0000
0.0000 4.6847 0.0000
0.0000 0.0000 4.8509
Sc Nb As W
2 1 1 1
direct
0.0000 0.0000 0.5000
0.5000 0.0000 0.0000
0.5000 0.5000 0.5000
0.0000 0.0000 0.0000
0.0000 0.5000 0.0000
```

Output
size of the total moment: 0.03 μB per formula unit
DOS at the Fermi energy: 0.934 states/eV/atom
raw total energy: -7.505 eV/atom
volume: 22.05 Å³ per atom
space-group type: P4/mmm, No. 123

# 8
Density functional theory data (GGA-PBE) for crystalline Nb2As2Se at its relaxed geometry.

Structure (POSCAR):
```
Nb2As2Se
1.0
7.2624 0.0000 0.0000
0.0000 7.2624 0.0000
0.0000 0.0000 3.4297
Nb As Se
4 4 2
direct
0.3490 0.8490 0.0000
0.8490 0.6510 0.0000
0.6510 0.1510 0.0000
0.1510 0.3490 0.0000
0.1376 0.6376 0.5000
0.6376 0.8624 0.5000
0.8624 0.3624 0.5000
0.3624 0.1376 0.5000
0.0000 0.0000 0.0000
0.5000 0.5000 0.0000
```

Output
size of the total moment: 0.00 μB per formula unit
DOS at the Fermi energy: 0.465 states/eV/atom
volume: 18.09 Å³ per atom
space-group type: P4/mbm, No. 127
ΔE_f (raw): -462 meV per atom

# 9
Density functional theory data (GGA-PBE) for crystalline NbAsSe3 at its relaxed geometry.

Structure (POSCAR):
```
NbAsSe3
1.0
-2.4508 2.5970 -0.0544
-6.3253 -6.0844 -5.4890
-5.7971 -5.2097 12.4552
Nb As Se
4 4 12
direct
0.7500 0.4080 0.5458
0.2500 0.9080 0.9542
0.2500 0.5920 0.4542
0.7500 0.0920 0.0458
0.2500 0.1554 0.6906
0.7500 0.6554 0.8094
0.7500 0.8446 0.3094
0.2500 0.3446 0.1906
0.2500 0.3428 0.4242
0.7500 0.8428 0.0758
0.7500 0.6572 0.5758
0.2500 0.1572 0.9242
0.7500 0.1393 0.5732
0.2500 0.6393 0.9268
0.2500 0.8607 0.4268
0.7500 0.3607 0.0732
0.2500 0.3920 0.6842
0.7500 0.8920 0.8158
0.7500 0.6080 0.3158
0.2500 0.1080 0.1842
```

Output
size of the total moment: 0.00 μB per formula unit
DOS at the Fermi energy: 0.365 states/eV/atom
volume: 27.16 Å³ per atom
ΔE to the lowest computed polymorph: 0.0 kJ/mol of atoms
space-group type: Pnma, No. 62
ΔE_f (raw): -492 meV per atom

# 10
Density functional theory data (GGA-PBE) for crystalline NbAs3Se at its relaxed geometry.

Structure (POSCAR):
```
NbAs3Se
1.0
4.8565 0.0000 0.0000
0.0000 4.8565 0.0000
0.0000 0.0000 4.8565
Nb As Se
1 3 1
direct
0.5000 0.5000 0.5000
0.0000 0.5000 0.0000
0.0000 0.0000 0.5000
0.5000 0.0000 0.0000
0.0000 0.0000 0.0000
```

Output
size of the total moment: 0.00 μB per formula unit
DOS at the Fermi energy: 1.324 states/eV/atom
volume: 22.91 Å³ per atom
ΔE to the lowest computed polymorph: 66.4 kJ/mol of atoms
space-group type: Pm-3m, No. 221
ΔE_f (raw): 1118 meV per atom

# 11
Density functional theory data (GGA-PBE) for crystalline NbAsSe3 at its relaxed geometry.

Structure (POSCAR):
```
NbAsSe3
1.0
5.0545 0.0000 0.0000
0.0000 5.0545 0.0000
0.0000 0.0000 5.0545
Nb As Se
1 1 3
direct
0.0000 0.0000 0.0000
0.5000 0.5000 0.5000
0.0000 0.5000 0.0000
0.0000 0.0000 0.5000
0.5000 0.0000 0.0000
```

Output
size of the total moment: 1.89 μB per formula unit
DOS at the Fermi energy: 0.916 states/eV/atom
volume: 25.83 Å³ per atom
ΔE to the lowest computed polymorph: 69.8 kJ/mol of atoms
space-group type: Pm-3m, No. 221
ΔE_f (raw): 231 meV per atom

# 12
Density functional theory data (GGA-PBE) for crystalline NbAs3Se at its relaxed geometry.

Structure (POSCAR):
```
NbAs3Se
1.0
4.9917 0.0000 0.0000
0.0000 4.9917 0.0000
0.0000 0.0000 4.9917
Nb As Se
1 3 1
direct
0.0000 0.0000 0.0000
0.0000 0.5000 0.0000
0.0000 0.0000 0.5000
0.5000 0.0000 0.0000
0.5000 0.5000 0.5000
```

Output
size of the total moment: 0.13 μB per formula unit
DOS at the Fermi energy: 0.911 states/eV/atom
volume: 24.88 Å³ per atom
ΔE to the lowest computed polymorph: 0.0 kJ/mol of atoms
space-group type: Pm-3m, No. 221
ΔE_f (raw): 430 meV per atom